Record 1
{"formula": "CrNiRh", "functional": "SCAN", "state": "PBEsol geometry", "cell": [[-0.497, -2.301, 0.972], [3.560, -1.306, -1.272], [-0.353, 1.615, 3.642]], "species": ["Cr", "Rh", "Ni"], "frac_coords": [[0.833, 0.000, 0.000], [0.333, 0.667, 0.333], [0.833, 0.333, 0.667]], "de_polymorph_ev_per_atom": 0.095, "total_magnetization_mub_per_atom": 0.000, "ef_ev_per_atom": 0.0547, "n_ef_per_ev_atom": 0.743, "sg": "P-6m2"}

***

Record 2
{"formula": "LiCl2", "functional": "SCAN", "state": "PBEsol geometry", "cell": [[-1.402, -3.238, -0.623], [1.552, 0.284, 5.327], [-6.376, 3.018, -1.330]], "species": ["Cl", "Cl", "Cl", "Cl", "Li", "Li"], "frac_coords": [[0.549, 0.099, 0.898], [0.451, 0.901, 0.102], [0.325, 0.650, 0.363], [0.675, 0.350, 0.637], [0.108, 0.215, 0.388], [0.892, 0.785, 0.612]], "de_polymorph_ev_per_atom": 0.000, "total_magnetization_mub_per_atom": 0.000, "n_ef_per_ev_atom": 0.000, "sg": "C2/m"}

***

Record 3
{"formula": "YSc3Re", "functional": "SCAN", "state": "PBEsol geometry", "cell": [[-2.516, 1.774, -3.664], [2.718, -2.474, -3.064], [-3.030, -3.692, 0.293]], "species": ["Sc", "Sc", "Sc", "Y", "Re"], "frac_coords": [[0.000, 0.000, 0.500], [0.000, 0.500, 0.000], [0.500, 0.000, 0.000], [0.000, 0.000, 0.000], [0.500, 0.500, 0.500]], "total_magnetization_mub_per_atom": 0.327, "ef_ev_per_atom": 1.7967, "n_ef_per_ev_atom": 1.058, "sg": "Pm-3m"}

***

Copy entry 2 word for word.
{"formula": "LiCl2", "functional": "SCAN", "state": "PBEsol geometry", "cell": [[-1.402, -3.238, -0.623], [1.552, 0.284, 5.327], [-6.376, 3.018, -1.330]], "species": ["Cl", "Cl", "Cl", "Cl", "Li", "Li"], "frac_coords": [[0.549, 0.099, 0.898], [0.451, 0.901, 0.102], [0.325, 0.650, 0.363], [0.675, 0.350, 0.637], [0.108, 0.215, 0.388], [0.892, 0.785, 0.612]], "de_polymorph_ev_per_atom": 0.000, "total_magnetization_mub_per_atom": 0.000, "n_ef_per_ev_atom": 0.000, "sg": "C2/m"}